# 1
ScCu2Si | GGA-PBE | relaxed

Summary:
- size of the total moment (μB/f.u.) = 0.00
- formation energy (no corrections) (meV/atom) = -266

abc: 4.3574 4.3574 4.3574
angles: 120.21 120.31 89.56
Closest atoms and distances in Å follow each position.
Atoms (fractional coordinates):
Si: 0.7494 0.2494 0.5000  4 Cu 2.66-2.67, 4 Sc 2.66-2.67
Cu: 0.2504 0.7504 0.5000  4 Cu 2.66-2.67, 4 Sc 2.66-2.67
Cu: 0.0005 0.0005 0.0000  4 Si 2.66-2.67, 4 Cu 2.66-2.67
Sc: 0.4997 0.4997 0.0000  4 Cu 2.66-2.67, 4 Si 2.66-2.67


# 2
KOs2 | GGA-PBE | relaxed

Summary:
- ΔE_f (eV per atom) = 1.84
- size of the total moment (μB/f.u.) = 0.00

abc: 3.7567 6.2724 7.9574
angles: 90.00 90.00 90.00
Closest atoms and distances in Å follow each position.
Atoms (fractional coordinates):
Os: 0.2502 0.5000 0.0805  2 Os 2.27-2.28
Os: 0.7498 0.5000 0.9195  2 Os 2.27-2.28
Os: 0.2498 0.0000 0.5805  2 Os 2.27-2.28
Os: 0.7502 0.0000 0.4195  2 Os 2.27-2.28
K: 0.5000 0.5000 0.5000  6 Os 3.34-3.47
K: 0.0000 0.0000 0.0000  6 Os 3.34-3.47


# 3
AcCd2Pd3 | GGA-PBE | relaxed

Summary:
- ΔE_f (eV per atom) = -0.53
- size of the total moment (μB/f.u.) = 0.00

abc: 5.6450 6.9507 6.9507
angles: 93.40 90.00 90.00
Closest atoms and distances in Å follow each position.
Atoms (fractional coordinates):
Pd: 0.7500 0.0684 0.4504  3 Pd 2.76-3.07, 4 Cd 2.78-2.89
Pd: 0.2500 0.5496 0.9316  3 Pd 2.76-3.07, 4 Cd 2.78-2.89
Pd: 0.7500 0.0533 0.0533  4 Pd 2.76-3.00, 4 Cd 2.85, 1 Ac 3.02
Pd: 0.2500 0.9467 0.9467  4 Pd 2.76-3.00, 4 Cd 2.85, 1 Ac 3.02
Pd: 0.7500 0.4504 0.0684  3 Pd 2.76-3.07, 4 Cd 2.78-2.89
Pd: 0.2500 0.9316 0.5496  3 Pd 2.76-3.07, 4 Cd 2.78-2.89
Cd: 0.5000 0.7604 0.2396  6 Pd 2.78-2.89, 2 Cd 2.82
Cd: 0.5000 0.2396 0.7604  6 Pd 2.78-2.89, 2 Cd 2.82
Cd: 0.0000 0.2396 0.7604  6 Pd 2.78-2.89, 2 Cd 2.82
Cd: 0.0000 0.7604 0.2396  6 Pd 2.78-2.89, 2 Cd 2.82
Ac: 0.2500 0.2638 0.2638  3 Pd 3.02-3.13
Ac: 0.7500 0.7362 0.7362  3 Pd 3.02-3.13


# 4
SrBr | GGA-PBE | relaxed

Summary:
- size of the total moment (μB/f.u.) = 0.00
- formation energy (no corrections) (meV/atom) = -1459

abc: 4.4775 4.4775 32.4243
angles: 90.00 90.00 120.00
Closest atoms and distances in Å follow each position.
Atoms (fractional coordinates):
Sr: 0.3333 0.6667 0.4466  3 Br 3.08
Sr: 0.3333 0.6667 0.2318  6 Br 3.04-3.09
Sr: 0.6667 0.3333 0.5534  3 Br 3.08
Sr: 0.0000 0.0000 0.9372  7 Sr 4.07-4.48
Sr: 0.0000 0.0000 0.0628  7 Sr 4.07-4.48
Sr: 0.6667 0.3333 0.7682  6 Br 3.04-3.09
Br: 0.0000 0.0000 0.7186  3 Sr 3.04
Br: 0.0000 0.0000 0.2814  3 Sr 3.04
Br: 0.6667 0.3333 0.3947  3 Sr 3.08
Br: 0.3333 0.6667 0.6053  3 Sr 3.08
Br: 0.6667 0.3333 0.1799  3 Sr 3.09
Br: 0.3333 0.6667 0.8201  3 Sr 3.09


# 5
TaAl2Ag | GGA-PBE | relaxed

Summary:
- ΔE_f (eV per atom) = 0.00
- size of the total moment (μB/f.u.) = 0.00

abc: 5.5910 5.5990 5.5935
angles: 148.62 131.74 58.69
Closest atoms and distances in Å follow each position.
Atoms (fractional coordinates):
Al: 0.0043 0.0046 0.0001  4 Ta 2.74, 2 Ag 2.78-2.79, 4 Al 2.91-3.03
Al: 0.7490 0.2486 0.4995  4 Ag 2.74, 2 Ta 2.84, 4 Al 2.91-3.03
Ag: 0.2441 0.7438 0.5002  6 Al 2.74-2.79, 2 Ta 2.94-2.95, 2 Ag 3.03
Ta: 0.5026 0.5029 0.0002  6 Al 2.74-2.84, 2 Ag 2.94-2.95, 2 Ta 3.03


# 6
Ti3Fe2Ni | GGA-PBE | relaxed

Summary:
- ΔE_f (eV per atom) = -0.38
- size of the total moment (μB/f.u.) = 0.00

abc: 2.9398 2.9398 9.1225
angles: 90.00 90.00 90.00
Closest atoms and distances in Å follow each position.
Atoms (fractional coordinates):
Fe: 0.5000 0.5000 0.1646  8 Ti 2.55-2.56
Fe: 0.5000 0.5000 0.8354  8 Ti 2.55-2.56
Ti: 0.0000 0.0000 0.0000  8 Fe 2.56
Ti: 0.0000 0.0000 0.6735  4 Fe 2.55, 4 Ni 2.61
Ti: 0.0000 0.0000 0.3265  4 Fe 2.55, 4 Ni 2.61
Ni: 0.5000 0.5000 0.5000  8 Ti 2.61